A relaxed structure of Ca3Nd2Pb4. Source: Alexandria via LeMat-Bulk, functional GGA-PBE.

The calculation puts the magnetic moment at 0.000 μB per formula unit. Its final energy is -70.92 eV/cell. Its space group is P2_1/c, No. 14. The formation energy is -565 meV per atom. Its density of states at the Fermi level is 2.93 states/eV/cell.

Lattice parameters (Å, degrees): 8.5787 8.6954 7.9850 90.00 106.86 90.00
Sites, in units of the cell vectors:
Ca (0.0000, 0.0000, 0.0000)
Ca (0.0000, 0.5000, 0.5000)
Ca (0.2550, 0.1675, 0.7486)
Ca (0.2550, 0.3325, 0.2486)
Ca (0.7450, 0.6675, 0.7514)
Ca (0.7450, 0.8325, 0.2514)
Nd (0.3113, 0.6908, 0.9337)
Nd (0.3113, 0.8092, 0.4337)
Nd (0.6887, 0.1908, 0.5663)
Nd (0.6887, 0.3092, 0.0663)
Pb (0.0151, 0.6334, 0.1321)
Pb (0.0151, 0.8666, 0.6321)
Pb (0.4197, 0.0346, 0.1537)
Pb (0.4197, 0.4654, 0.6537)
Pb (0.5803, 0.5346, 0.3463)
Pb (0.5803, 0.9654, 0.8463)
Pb (0.9849, 0.1334, 0.3679)
Pb (0.9849, 0.3666, 0.8679)